Compound: MgMo2W
Source: the Alexandria database
Functional: PBE
Structure: optimized geometry

a b c (Å): 3.2016 4.5392 9.0438
angles (deg): 90.00 90.00 90.00
Element x y z (fractional)
Mg 0.0000 0.0000 0.0000
Mg 0.5000 0.5000 0.5000
Mo 0.0000 0.0000 0.4981
Mo 0.0000 0.5000 0.7656
Mo 0.5000 0.0000 0.2656
Mo 0.5000 0.5000 0.9981
W 0.0000 0.5000 0.2316
W 0.5000 0.0000 0.7316

Output
formation energy = 0.288 eV per atom
space group = No. 44
total energy = -8.764 eV per atom

Compound: La3HgO
Source: the Alexandria database
Functional: PBE
Structure: optimized geometry

a b c (Å): 6.8334 6.8598 6.9286
angles (deg): 90.00 119.34 90.00
Element x y z (fractional)
La 0.0020 0.2500 0.1632
La 0.4354 0.0065 0.7312
La 0.4354 0.4935 0.7312
La 0.5646 0.5065 0.2688
La 0.5646 0.9935 0.2688
La 0.9980 0.7500 0.8368
Hg 0.0169 0.7500 0.3076
Hg 0.9831 0.2500 0.6924
O 0.3763 0.7500 0.9520
O 0.6237 0.2500 0.0480

Output
space group = No. 11
total energy = -5.240 eV per atom
offset from the most stable computed form = 132.7 meV/atom
uncorrected formation energy = -1231 meV/atom

Compound: CrCdBr2
Source: the Alexandria database
Functional: PBE
Structure: optimized geometry

a b c (Å): 7.5914 8.0816 4.3724
angles (deg): 90.00 120.87 90.00
Element x y z (fractional)
Cr 0.0000 0.0000 0.0000
Cr 0.5000 0.5000 0.0000
Cd 0.0000 0.5000 0.0000
Cd 0.5000 0.0000 0.0000
Br 0.2500 0.2500 0.5000
Br 0.2500 0.7500 0.5000
Br 0.7500 0.2500 0.5000
Br 0.7500 0.7500 0.5000

Output
space group = No. 12
total energy = -3.459 eV per atom
offset from the most stable computed form = 342.5 meV/atom
uncorrected formation energy = 12 meV/atom

Compound: TbZrSb
Source: the Alexandria database
Functional: PBE
Structure: optimized geometry

a b c (Å): 4.2845 4.2845 16.6990
angles (deg): 90.00 90.00 90.00
Element x y z (fractional)
Tb 0.0000 0.0000 0.1767
Tb 0.0000 0.0000 0.8233
Tb 0.5000 0.5000 0.3233
Tb 0.5000 0.5000 0.6767
Zr 0.0000 0.5000 0.0000
Zr 0.0000 0.5000 0.5000
Zr 0.5000 0.0000 0.0000
Zr 0.5000 0.0000 0.5000
Sb 0.0000 0.0000 0.3672
Sb 0.0000 0.0000 0.6328
Sb 0.5000 0.5000 0.1328
Sb 0.5000 0.5000 0.8672

Output
space group = No. 139
total energy = -6.578 eV per atom
uncorrected formation energy = -811 meV/atom

| no. | total magnetization (μB per cell) |
| --- | --- |
| 1 | 0.00 |
| 2 | 0.00 |
| 3 | 9.77 |
| 4 | 0.00 |